# ScAl4Cu

Crystalline ScAl4Cu at its relaxed geometry (PBE, Alexandria).

Results
Space group: F-43m, No. 216
Crystal system: cubic
Raw total energy: -0.1571 hartree per atom
Energy of formation from the pure elements: -42 meV per atom

abc: 5.2908 5.2908 5.2908
angles: 60.00 60.00 60.00
Element x y z (fractional)
Cu 0.7500 0.7500 0.7500
Al 0.3745 0.8764 0.3745
Al 0.8764 0.3745 0.3745
Al 0.3745 0.3745 0.3745
Al 0.3745 0.3745 0.8764
Sc 0.0000 0.0000 0.0000

=====

# ScAl2Cu

Crystalline ScAl2Cu at its relaxed geometry (PBE, Alexandria).

Results
Space group: F-43m, No. 216
Crystal system: cubic
Raw total energy: -0.1739 hartree per atom
Energy of formation from the pure elements: -255 meV per atom

abc: 4.5213 4.5213 4.5213
angles: 60.00 60.00 60.00
Element x y z (fractional)
Cu 0.5000 0.5000 0.5000
Al 0.7500 0.7500 0.7500
Al 0.0000 0.0000 0.0000
Sc 0.2500 0.2500 0.2500

=====

# ScAlCu

Crystalline ScAlCu at its relaxed geometry (PBE, Alexandria).

Results
Space group: Amm2, No. 38
Crystal system: orthorhombic
Raw total energy: -0.1889 hartree per atom
Energy of formation from the pure elements: -416 meV per atom

abc: 5.1975 5.1975 8.3857
angles: 90.00 90.00 118.96
Element x y z (fractional)
Sc 0.3333 0.6667 0.8008
Sc 0.6665 0.3335 0.3162
Sc 0.6665 0.3335 0.6838
Sc 0.3333 0.6667 0.1992
Al 0.9956 0.0044 0.7395
Al 0.8334 0.6532 0.0000
Al 0.3468 0.1666 0.0000
Al 0.9956 0.0044 0.2605
Cu 0.1692 0.8308 0.5000
Cu 0.8341 0.1659 0.0000
Cu 0.1708 0.3451 0.5000
Cu 0.6549 0.8292 0.5000

=====

# Sc2AlCu6

Crystalline Sc2AlCu6 at its relaxed geometry (PBE, Alexandria).

Results
Space group: C2/m, No. 12
Crystal system: monoclinic
Raw total energy: -0.1756 hartree per atom
Energy of formation from the pure elements: -224 meV per atom

abc: 5.5930 5.2519 5.2519
angles: 60.23 90.66 90.66
Element x y z (fractional)
Sc 0.1438 0.3333 0.3333
Sc 0.8562 0.6667 0.6667
Cu 0.6644 0.6440 0.1769
Cu 0.3356 0.8231 0.3560
Cu 0.6700 0.1761 0.1761
Cu 0.3356 0.3560 0.8231
Cu 0.3300 0.8240 0.8240
Cu 0.6644 0.1769 0.6440
Al 0.0000 0.0000 0.0000

=====

# Sc2AlCu3

Crystalline Sc2AlCu3 at its relaxed geometry (PBE, Alexandria).

Results
Space group: P6_3/mmc, No. 194
Crystal system: hexagonal
Raw total energy: -0.1891 hartree per atom
Energy of formation from the pure elements: -364 meV per atom

abc: 5.1882 5.1882 8.1242
angles: 90.00 90.00 120.00
Element x y z (fractional)
Cu 0.8298 0.1702 0.7500
Cu 0.6595 0.8298 0.2500
Cu 0.1702 0.3405 0.2500
Cu 0.3405 0.1702 0.7500
Cu 0.1702 0.8298 0.2500
Cu 0.8298 0.6595 0.7500
Sc 0.6667 0.3333 0.4453
Sc 0.3333 0.6667 0.5547
Sc 0.6667 0.3333 0.0547
Sc 0.3333 0.6667 0.9453
Al 0.0000 0.0000 0.0000
Al 0.0000 0.0000 0.5000

=====

# ScAlCu

Crystalline ScAlCu at its relaxed geometry (PBE, Alexandria).

Results
Space group: F-43m, No. 216
Crystal system: cubic
Raw total energy: -0.1828 hartree per atom
Energy of formation from the pure elements: -251 meV per atom

abc: 4.3033 4.3033 4.3033
angles: 60.00 60.00 60.00
Element x y z (fractional)
Cu 0.7500 0.7500 0.7500
Sc 0.0000 0.0000 0.0000
Al 0.5000 0.5000 0.5000

=====

# Sc2Al5Cu3

Crystalline Sc2Al5Cu3 at its relaxed geometry (PBE, Alexandria).

Results
Space group: Cmc2_1, No. 36
Crystal system: orthorhombic
Raw total energy: -0.1752 hartree per atom
Energy of formation from the pure elements: -401 meV per atom

abc: 4.0922 6.5691 12.1731
angles: 90.00 99.68 90.00
Element x y z (fractional)
Cu 0.2269 0.2151 0.4538
Cu 0.0467 0.9775 0.0934
Cu 0.6091 0.5132 0.2183
Cu 0.7731 0.7151 0.5462
Cu 0.9533 0.4775 0.9066
Cu 0.3909 0.0132 0.7817
Sc 0.8257 0.2256 0.6513
Sc 0.4803 0.7583 0.9605
Sc 0.5197 0.2583 0.0395
Sc 0.1743 0.7256 0.3487
Al 0.4009 0.4012 0.8019
Al 0.7079 0.4209 0.4157
Al 0.7095 0.0147 0.4189
Al 0.5991 0.9012 0.1981
Al 0.0536 0.5890 0.1073
Al 0.8774 0.7494 0.7547
Al 0.2905 0.5147 0.5811
Al 0.2921 0.9209 0.5843
Al 0.1226 0.2494 0.2453
Al 0.9464 0.0890 0.8927

=====

# ScAlCu

Crystalline ScAlCu at its relaxed geometry (PBE, Alexandria).

Results
Space group: I4mm, No. 107
Crystal system: tetragonal
Raw total energy: -0.1855 hartree per atom
Energy of formation from the pure elements: -325 meV per atom

abc: 5.6853 5.6852 3.0832
angles: 74.27 74.27 31.47
Element x y z (fractional)
Al 0.0220 0.0220 0.9780
Cu 0.6515 0.6515 0.3485
Sc 0.3265 0.3265 0.6735

=====

# Sc8AlCu2

Crystalline Sc8AlCu2 at its relaxed geometry (PBE, Alexandria).

Results
Space group: C2/m, No. 12
ΔE to the lowest computed polymorph: 69 meV/atom
Crystal system: monoclinic
Raw total energy: -0.2118 hartree per atom
Energy of formation from the pure elements: -74 meV per atom

abc: 4.8152 7.5376 7.5376
angles: 113.68 98.57 98.57
Element x y z (fractional)
Cu 0.0000 0.6848 0.3152
Cu 0.0000 0.3152 0.6848
Sc 0.5000 0.2398 0.7602
Sc 0.0881 0.3183 0.0736
Sc 0.9119 0.6817 0.9264
Sc 0.9119 0.9264 0.6817
Sc 0.6907 0.3838 0.3838
Sc 0.5000 0.7602 0.2398
Sc 0.0881 0.0736 0.3183
Sc 0.3093 0.6162 0.6162
Al 0.5000 0.0000 0.0000

=====

# ScAl4Cu2

Crystalline ScAl4Cu2 at its relaxed geometry (PBE, Alexandria).

Results
Space group: C2/m, No. 12
Crystal system: monoclinic
Raw total energy: -0.1629 hartree per atom
Energy of formation from the pure elements: -218 meV per atom

abc: 4.8827 5.4235 5.4235
angles: 68.86 63.27 63.27
Element x y z (fractional)
Al 0.6908 0.0228 0.5976
Al 0.3092 0.9772 0.4024
Al 0.6908 0.5976 0.0228
Al 0.3092 0.4024 0.9772
Cu 0.7523 0.5029 0.5029
Cu 0.2477 0.4971 0.4971
Sc 0.0000 0.0000 0.0000

=====

# Sc12AlCu6

Crystalline Sc12AlCu6 at its relaxed geometry (PBE, Alexandria).

Results
Space group: Im-3, No. 204
Crystal system: cubic
Raw total energy: -0.2090 hartree per atom
Energy of formation from the pure elements: -198 meV per atom

abc: 7.9203 7.9203 7.9203
angles: 109.47 109.47 109.47
Element x y z (fractional)
Sc 0.1006 0.8113 0.2893
Sc 0.8113 0.7107 0.5219
Sc 0.4781 0.1887 0.2893
Sc 0.7107 0.5219 0.8113
Sc 0.8113 0.2893 0.1006
Sc 0.2893 0.4781 0.1887
Sc 0.8994 0.1887 0.7107
Sc 0.1887 0.2893 0.4781
Sc 0.2893 0.1006 0.8113
Sc 0.7107 0.8994 0.1887
Sc 0.1887 0.7107 0.8994
Sc 0.5219 0.8113 0.7107
Cu 0.3690 0.5000 0.8690
Cu 0.5000 0.1310 0.6310
Cu 0.5000 0.8690 0.3690
Cu 0.6310 0.5000 0.1310
Cu 0.8690 0.3690 0.5000
Cu 0.1310 0.6310 0.5000
Al 0.0000 0.0000 0.0000

=====

# Sc2AlCu2

Crystalline Sc2AlCu2 at its relaxed geometry (PBE, Alexandria).

Results
Space group: I4/mmm, No. 139
Crystal system: tetragonal
Raw total energy: -0.1784 hartree per atom
Energy of formation from the pure elements: 66 meV per atom

abc: 4.3959 4.3959 5.9119
angles: 68.17 68.17 90.00
Element x y z (fractional)
Sc 0.2500 0.7500 0.5000
Sc 0.7500 0.2500 0.5000
Cu 0.3903 0.3903 0.2195
Cu 0.6097 0.6097 0.7805
Al 0.0000 0.0000 0.0000

=====

# Sc2AlCu2

Crystalline Sc2AlCu2 at its relaxed geometry (PBE, Alexandria).

Results
Space group: I4/mmm, No. 139
Crystal system: tetragonal
Raw total energy: -0.1845 hartree per atom
Energy of formation from the pure elements: -100 meV per atom

abc: 3.3115 3.3115 8.7295
angles: 79.07 79.07 90.00
Element x y z (fractional)
Cu 0.2500 0.7500 0.5000
Cu 0.7500 0.2500 0.5000
Al 0.0000 0.0000 0.0000
Sc 0.3891 0.3891 0.2219
Sc 0.6109 0.6109 0.7781

=====

# Sc4AlCu2

Crystalline Sc4AlCu2 at its relaxed geometry (PBE, Alexandria).

Results
Space group: R-3m, No. 166
ΔE to the lowest computed polymorph: 153 meV/atom
Crystal system: trigonal
Raw total energy: -0.1974 hartree per atom
Energy of formation from the pure elements: -50 meV per atom

abc: 4.6001 4.6001 8.5198
angles: 74.34 74.34 60.00
Element x y z (fractional)
Cu 0.4025 0.4025 0.7924
Cu 0.5975 0.5975 0.2076
Sc 0.7078 0.7078 0.8765
Sc 0.1202 0.1202 0.6395
Sc 0.2922 0.2922 0.1235
Sc 0.8798 0.8798 0.3605
Al 0.5000 0.5000 0.5000

=====

# ScAl2Cu

Crystalline ScAl2Cu at its relaxed geometry (PBE, Alexandria).

Results
Space group: I-42d, No. 122
Crystal system: tetragonal
Raw total energy: -0.1625 hartree per atom
Energy of formation from the pure elements: 56 meV per atom

abc: 3.9130 3.9130 10.0679
angles: 78.79 78.79 90.00
Element x y z (fractional)
Al 0.1112 0.6250 0.2500
Al 0.8750 0.8888 0.7500
Al 0.6388 0.1250 0.2500
Al 0.3750 0.3612 0.7500
Cu 0.0000 0.0000 0.0000
Cu 0.7500 0.2500 0.5000
Sc 0.5000 0.5000 0.0000
Sc 0.2500 0.7500 0.5000

=====

# ScAl4Cu4

Crystalline ScAl4Cu4 at its relaxed geometry (PBE, Alexandria).

Results
Space group: I4/m, No. 87
Crystal system: tetragonal
Raw total energy: -0.1592 hartree per atom
Energy of formation from the pure elements: -143 meV per atom

abc: 4.3553 8.0125 8.0125
angles: 90.00 90.00 90.00
Element x y z (fractional)
Al 0.9994 0.6371 0.9092
Al 0.4994 0.5908 0.1371
Al 0.4994 0.4092 0.8629
Al 0.9994 0.3629 0.0908
Al 0.0006 0.0908 0.6371
Al 0.5006 0.1371 0.4092
Al 0.0006 0.9092 0.3629
Al 0.5006 0.8629 0.5908
Sc 0.0000 0.0000 0.0000
Sc 0.5000 0.5000 0.5000
Cu 0.4994 0.7939 0.8900
Cu 0.5006 0.8900 0.2061
Cu 0.9994 0.6100 0.2939
Cu 0.0006 0.7061 0.6100
Cu 0.5006 0.1100 0.7939
Cu 0.4994 0.2061 0.1100
Cu 0.9994 0.3900 0.7061
Cu 0.0006 0.2939 0.3900

=====

# Sc5Al4Cu

Crystalline Sc5Al4Cu at its relaxed geometry (PBE, Alexandria).

Results
Space group: P4/mmm, No. 123
Crystal system: tetragonal
Raw total energy: -0.2019 hartree per atom
Energy of formation from the pure elements: -421 meV per atom

abc: 3.2216 3.2216 18.3418
angles: 90.00 90.00 90.00
Element x y z (fractional)
Al 0.0000 0.0000 0.6026
Al 0.0000 0.0000 0.1916
Al 0.0000 0.0000 0.3974
Al 0.0000 0.0000 0.8084
Sc 0.5000 0.5000 0.9107
Sc 0.5000 0.5000 0.5000
Sc 0.5000 0.5000 0.0893
Sc 0.5000 0.5000 0.2950
Sc 0.5000 0.5000 0.7050
Cu 0.0000 0.0000 0.0000

=====

# ScAl2Cu

Crystalline ScAl2Cu at its relaxed geometry (PBE, Alexandria).

Results
Space group: P4/mmm, No. 123
Crystal system: tetragonal
Raw total energy: -0.1780 hartree per atom
Energy of formation from the pure elements: -366 meV per atom

abc: 4.0337 4.0337 4.0324
angles: 90.00 90.00 89.98
Element x y z (fractional)
Al 0.5000 0.5000 0.0000
Al 0.0000 0.0000 0.0000
Cu 0.5000 0.0000 0.5000
Sc 0.0000 0.5000 0.5000

=====

# ScAl8Cu4

Crystalline ScAl8Cu4 at its relaxed geometry (PBE, Alexandria).

Results
Space group: I4/mmm, No. 139
Crystal system: tetragonal
Raw total energy: -0.1590 hartree per atom
Energy of formation from the pure elements: -276 meV per atom

abc: 5.0922 6.6875 6.6875
angles: 81.67 67.62 67.62
Element x y z (fractional)
Cu 0.5000 0.0000 0.5000
Cu 0.0000 0.0000 0.5000
Cu 0.0000 0.5000 0.0000
Cu 0.5000 0.5000 0.0000
Al 0.5000 0.7839 0.2161
Al 0.7161 0.7839 0.7839
Al 0.6541 0.3459 0.3459
Al 0.0000 0.3459 0.6541
Al 0.5000 0.2161 0.7839
Al 0.2839 0.2161 0.2161
Al 0.0000 0.6541 0.3459
Al 0.3459 0.6541 0.6541
Sc 0.0000 0.0000 0.0000

=====

# ScAl6Cu12

Crystalline ScAl6Cu12 at its relaxed geometry (PBE, Alexandria).

Results
Space group: R-3m, No. 166
Crystal system: trigonal
Raw total energy: -0.1526 hartree per atom
Energy of formation from the pure elements: -49 meV per atom

abc: 6.8209 6.8209 6.8209
angles: 104.81 104.81 104.81
Element x y z (fractional)
Cu 0.5000 0.8881 0.1119
Cu 0.6389 0.6389 0.8835
Cu 0.8881 0.1119 0.5000
Cu 0.1119 0.8881 0.5000
Cu 0.3611 0.3611 0.1165
Cu 0.6389 0.8835 0.6389
Cu 0.1119 0.5000 0.8881
Cu 0.1165 0.3611 0.3611
Cu 0.3611 0.1165 0.3611
Cu 0.8835 0.6389 0.6389
Cu 0.8881 0.5000 0.1119
Cu 0.5000 0.1119 0.8881
Al 0.7089 0.7089 0.2996
Al 0.7089 0.2996 0.7089
Al 0.2911 0.7004 0.2911
Al 0.7004 0.2911 0.2911
Al 0.2996 0.7089 0.7089
Al 0.2911 0.2911 0.7004
Sc 0.0000 0.0000 0.0000

=====

# SmScAlCu

Crystalline SmScAlCu at its relaxed geometry (PBE, Alexandria).

Results
Space group: F-43m, No. 216
Crystal system: cubic
Raw total energy: -0.1831 hartree per atom
Energy of formation from the pure elements: -260 meV per atom

abc: 4.9506 4.9506 4.9506
angles: 60.00 60.00 60.00
Element x y z (fractional)
Sc 0.5000 0.5000 0.5000
Sm 0.0000 0.0000 0.0000
Cu 0.2500 0.2500 0.2500
Al 0.7500 0.7500 0.7500

=====

# SmSc2AlCu4

Crystalline SmSc2AlCu4 at its relaxed geometry (PBE, Alexandria).

Results
Space group: R-3m, No. 166
Crystal system: trigonal
Raw total energy: -0.1818 hartree per atom
Energy of formation from the pure elements: -259 meV per atom

abc: 4.4763 4.4763 8.6636
angles: 75.03 75.03 60.00
Element x y z (fractional)
Cu 0.8753 0.8753 0.3741
Cu 0.1247 0.1247 0.6259
Cu 0.3994 0.3994 0.8019
Cu 0.6006 0.6006 0.1981
Sc 0.7624 0.7624 0.7129
Sc 0.2376 0.2376 0.2871
Sm 0.0000 0.0000 0.0000
Al 0.5000 0.5000 0.5000

=====

# Sc4AlCu2Tc

Crystalline Sc4AlCu2Tc at its relaxed geometry (PBE, Alexandria).

Results
Space group: R-3m, No. 166
Crystal system: trigonal
Raw total energy: -0.2304 hartree per atom
Energy of formation from the pure elements: -317 meV per atom

abc: 4.6577 4.6577 8.0794
angles: 73.25 73.25 60.00
Element x y z (fractional)
Sc 0.6185 0.6185 0.1445
Sc 0.3815 0.3815 0.8555
Sc 0.1303 0.1303 0.6092
Sc 0.8697 0.8697 0.3908
Cu 0.2540 0.2540 0.2381
Cu 0.7460 0.7460 0.7619
Al 0.0000 0.0000 0.0000
Tc 0.5000 0.5000 0.5000